[1]
BaCd2Re: optimized geometry, GGA-PBE.

## Properties
**E**: -3.136 eV per atom
**D(E_F)**: 2.75 states/eV/cell
**Polymorph energy (0 for the lowest one)**: 300 meV/atom
**Calculated formation energy**: 0.91 eV per atom

```
data_BaCd2Re
_chemical_formula_sum 'Ba1 Cd2 Re1'
_space_group_name_H-M_alt 'P 1'
_space_group_IT_number 1
_space_group_name_Hall 'P 1'
_cell_length_a 4.6147
_cell_length_b 4.6078
_cell_length_c 4.7982
_cell_angle_alpha 90.00
_cell_angle_beta 90.00
_cell_angle_gamma 90.00
loop_
_atom_site_label
_atom_site_fract_x
_atom_site_fract_y
_atom_site_fract_z
_atom_site_occupancy
Re1 0.5000 0.0000 0.5000 1
Ba1 0.0000 0.5000 0.5000 1
Cd1 0.0000 0.0000 0.0000 1
Cd2 0.5000 0.5000 0.0000 1
```

***

[2]
Ba2CdRe: optimized geometry, GGA-PBE.

## Properties
**E**: -3.535 eV per atom
**D(E_F)**: 6.81 states/eV/cell
**Calculated formation energy**: 0.77 eV per atom

```
data_Ba2CdRe
_chemical_formula_sum 'Ba4 Cd2 Re2'
_space_group_name_H-M_alt 'P 1'
_space_group_IT_number 1
_space_group_name_Hall 'P 1'
_cell_length_a 11.5680
_cell_length_b 11.5680
_cell_length_c 8.6149
_cell_angle_alpha 47.83
_cell_angle_beta 47.83
_cell_angle_gamma 90.00
loop_
_atom_site_label
_atom_site_fract_x
_atom_site_fract_y
_atom_site_fract_z
_atom_site_occupancy
Ba1 0.8421 0.1250 0.2500 1
Cd1 0.2500 0.7500 0.5000 1
Ba2 0.9079 0.6250 0.2500 1
Cd2 0.5000 0.5000 0.0000 1
Ba3 0.8750 0.0921 0.7500 1
Ba4 0.3750 0.1579 0.7500 1
Re1 0.7500 0.2500 0.5000 1
Re2 0.0000 0.0000 0.0000 1
```

***

[3]
BaCd2Re: optimized geometry, GGA-PBE.

## Properties
**E**: -3.121 eV per atom
**D(E_F)**: 3.58 states/eV/cell
**Polymorph energy (0 for the lowest one)**: 315 meV/atom
**Calculated formation energy**: 0.93 eV per atom

```
data_BaCd2Re
_chemical_formula_sum 'Ba1 Cd2 Re1'
_space_group_name_H-M_alt 'P 1'
_space_group_IT_number 1
_space_group_name_Hall 'P 1'
_cell_length_a 5.5430
_cell_length_b 5.5430
_cell_length_c 3.0491
_cell_angle_alpha 90.00
_cell_angle_beta 90.00
_cell_angle_gamma 90.00
loop_
_atom_site_label
_atom_site_fract_x
_atom_site_fract_y
_atom_site_fract_z
_atom_site_occupancy
Re1 0.5000 0.0000 0.5000 1
Cd1 0.0000 0.0000 0.0000 1
Ba1 0.0000 0.5000 0.5000 1
Cd2 0.5000 0.5000 0.0000 1
```